# LiRu3Au | Alexandria | GGA-PBE | optimized geometry
# DOS(E_F), states/eV/f.u.: 7.54
# Energy relative to the elements, eV per atom: 1.10
data_LiRu3Au
_chemical_formula_sum 'Li1 Ru3 Au1'
_symmetry_space_group_name_H-M 'P m -3 m'
_symmetry_Int_Tables_number 221
_symmetry_space_group_name_Hall '-P 4 2 3'
_cell_length_a 4.146
_cell_length_b 4.146
_cell_length_c 4.146
_cell_angle_alpha 90.00
_cell_angle_beta 90.00
_cell_angle_gamma 90.00
loop_
_atom_site_label
_atom_site_fract_x
_atom_site_fract_y
_atom_site_fract_z
Li1 0.000 0.000 0.000
Ru1 0.000 0.000 0.500
Au1 0.500 0.500 0.500



# CuRe4W | Alexandria | GGA-PBE | optimized geometry
# DOS(E_F), states/eV/f.u.: 6.22
# Energy relative to the elements, eV per atom: 0.45
data_CuRe4W
_chemical_formula_sum 'Cu4 Re16 W4'
_symmetry_space_group_name_H-M 'F -4 3 m'
_symmetry_Int_Tables_number 216
_symmetry_space_group_name_Hall 'F -4 2 3'
_cell_length_a 7.261
_cell_length_b 7.261
_cell_length_c 7.261
_cell_angle_alpha 90.00
_cell_angle_beta 90.00
_cell_angle_gamma 90.00
loop_
_atom_site_label
_atom_site_fract_x
_atom_site_fract_y
_atom_site_fract_z
Cu1 0.000 0.000 0.000
Re1 0.126 0.126 0.626
W1 0.250 0.250 0.250



# Cs3Ac2MnS6 | Alexandria | GGA-PBE | optimized geometry
# Energy relative to the elements, uncorrected, meV/atom: -1415
data_Cs3Ac2MnS6
_chemical_formula_sum 'Cs6 Ac4 Mn2 S12'
_symmetry_space_group_name_H-M 'C 1 2/m 1'
_symmetry_Int_Tables_number 12
_symmetry_space_group_name_Hall '-C 2y'
_cell_length_a 7.616
_cell_length_b 12.514
_cell_length_c 8.539
_cell_angle_alpha 90.00
_cell_angle_beta 108.37
_cell_angle_gamma 90.00
loop_
_atom_site_label
_atom_site_fract_x
_atom_site_fract_y
_atom_site_fract_z
Cs1 0.000 0.000 0.000
Cs2 0.000 0.329 0.000
Ac1 0.000 0.164 0.500
Mn1 0.000 0.500 0.500
S1 0.199 0.361 0.667
S2 0.231 0.000 0.715



# LiTbCeAl | Alexandria | GGA-PBE | optimized geometry
# DOS(E_F), states/eV/f.u.: 6.61
# Energy relative to the elements, eV per atom: -0.12
data_LiTbCeAl
_chemical_formula_sum 'Li4 Tb4 Ce4 Al4'
_symmetry_space_group_name_H-M 'F -4 3 m'
_symmetry_Int_Tables_number 216
_symmetry_space_group_name_Hall 'F -4 2 3'
_cell_length_a 7.326
_cell_length_b 7.326
_cell_length_c 7.326
_cell_angle_alpha 90.00
_cell_angle_beta 90.00
_cell_angle_gamma 90.00
loop_
_atom_site_label
_atom_site_fract_x
_atom_site_fract_y
_atom_site_fract_z
Li1 0.000 0.000 0.000
Tb1 0.250 0.250 0.750
Ce1 0.250 0.250 0.250
Al1 0.000 0.000 0.500



# Cu4Se3 | Alexandria | GGA-PBE | optimized geometry
# Energy relative to the elements, uncorrected, meV/atom: 5
# DOS(E_F), states/eV/f.u.: 3.40
data_Cu4Se3
_chemical_formula_sum 'Cu8 Se6'
_symmetry_space_group_name_H-M 'I 4/m m m'
_symmetry_Int_Tables_number 139
_symmetry_space_group_name_Hall '-I 4 2'
_cell_length_a 3.415
_cell_length_b 3.415
_cell_length_c 22.010
_cell_angle_alpha 90.00
_cell_angle_beta 90.00
_cell_angle_gamma 90.00
loop_
_atom_site_label
_atom_site_fract_x
_atom_site_fract_y
_atom_site_fract_z
Cu1 0.000 0.000 0.056
Cu2 0.000 0.000 0.373
Se1 0.000 0.000 0.164
Se2 0.000 0.000 0.500



# ZrIn2SnGe | Alexandria | GGA-PBE | optimized geometry
# DOS(E_F), states/eV/f.u.: 3.15
# Energy relative to the elements, eV per atom: 0.41
data_ZrIn2SnGe
_chemical_formula_sum 'Zr1 In2 Sn1 Ge1'
_symmetry_space_group_name_H-M 'P 4/m m m'
_symmetry_Int_Tables_number 123
_symmetry_space_group_name_Hall '-P 4 2'
_cell_length_a 5.269
_cell_length_b 5.269
_cell_length_c 5.482
_cell_angle_alpha 90.00
_cell_angle_beta 90.00
_cell_angle_gamma 90.00
loop_
_atom_site_label
_atom_site_fract_x
_atom_site_fract_y
_atom_site_fract_z
Zr1 0.000 0.000 0.000
In1 0.000 0.500 0.500
Sn1 0.500 0.500 0.000
Ge1 0.000 0.000 0.500



# EuMgScPb | Alexandria | GGA-PBE | optimized geometry
# DOS(E_F), states/eV/f.u.: 3.86
# Energy relative to the elements, eV per atom: -0.24
data_EuMgScPb
_chemical_formula_sum 'Eu4 Mg4 Sc4 Pb4'
_symmetry_space_group_name_H-M 'F -4 3 m'
_symmetry_Int_Tables_number 216
_symmetry_space_group_name_Hall 'F -4 2 3'
_cell_length_a 7.562
_cell_length_b 7.562
_cell_length_c 7.562
_cell_angle_alpha 90.00
_cell_angle_beta 90.00
_cell_angle_gamma 90.00
loop_
_atom_site_label
_atom_site_fract_x
_atom_site_fract_y
_atom_site_fract_z
Eu1 0.000 0.000 0.000
Mg1 0.250 0.250 0.250
Sc1 0.000 0.000 0.500
Pb1 0.250 0.250 0.750



# ErNiHgRh | Alexandria | GGA-PBE | optimized geometry
# DOS(E_F), states/eV/f.u.: 2.37
# Energy relative to the elements, eV per atom: -0.37
data_ErNiHgRh
_chemical_formula_sum 'Er4 Ni4 Hg4 Rh4'
_symmetry_space_group_name_H-M 'F -4 3 m'
_symmetry_Int_Tables_number 216
_symmetry_space_group_name_Hall 'F -4 2 3'
_cell_length_a 6.560
_cell_length_b 6.560
_cell_length_c 6.560
_cell_angle_alpha 90.00
_cell_angle_beta 90.00
_cell_angle_gamma 90.00
loop_
_atom_site_label
_atom_site_fract_x
_atom_site_fract_y
_atom_site_fract_z
Er1 0.000 0.000 0.000
Ni1 0.250 0.250 0.250
Hg1 0.000 0.000 0.500
Rh1 0.250 0.250 0.750



# K3LiBi3O8 | Alexandria | GGA-PBE | optimized geometry
# Energy relative to the elements, uncorrected, meV/atom: -1236
# DOS(E_F), states/eV/f.u.: 4.24
data_K3LiBi3O8
_chemical_formula_sum 'K6 Li2 Bi6 O16'
_symmetry_space_group_name_H-M 'C 1 2/m 1'
_symmetry_Int_Tables_number 12
_symmetry_space_group_name_Hall '-C 2y'
_cell_length_a 11.969
_cell_length_b 6.916
_cell_length_c 7.419
_cell_angle_alpha 90.00
_cell_angle_beta 122.16
_cell_angle_gamma 90.00
loop_
_atom_site_label
_atom_site_fract_x
_atom_site_fract_y
_atom_site_fract_z
K1 0.000 0.000 0.000
K2 0.250 0.250 0.000
Li1 0.000 0.000 0.500
Bi1 0.000 0.500 0.500
Bi2 0.250 0.250 0.500
O1 0.035 0.241 0.326
O2 0.240 0.500 0.702
O3 0.242 0.000 0.685



# Sr2CeHoS4 | Alexandria | GGA-PBE | optimized geometry
# Energy relative to the elements, uncorrected, meV/atom: -2012
# DOS(E_F), states/eV/f.u.: 7.91
data_Sr2CeHoS4
_chemical_formula_sum 'Sr2 Ce1 Ho1 S4'
_symmetry_space_group_name_H-M 'P 1 2/m 1'
_symmetry_Int_Tables_number 10
_symmetry_space_group_name_Hall '-P 2y'
_cell_length_a 7.069
_cell_length_b 4.075
_cell_length_c 7.214
_cell_angle_alpha 90.00
_cell_angle_beta 108.97
_cell_angle_gamma 90.00
loop_
_atom_site_label
_atom_site_fract_x
_atom_site_fract_y
_atom_site_fract_z
Sr1 0.000 0.000 0.000
Sr2 0.500 0.500 0.000
Ce1 0.000 0.500 0.500
Ho1 0.500 0.000 0.500
S1 0.253 0.000 0.736
S2 0.264 0.500 0.270



# Pm2Y3Ho6 | Alexandria | GGA-PBE | optimized geometry
# DOS(E_F), states/eV/f.u.: 16.72
# Energy relative to the elements, eV per atom: 0.27
data_Pm2Y3Ho6
_chemical_formula_sum 'Pm4 Y6 Ho12'
_symmetry_space_group_name_H-M 'I 4/m m m'
_symmetry_Int_Tables_number 139
_symmetry_space_group_name_Hall '-I 4 2'
_cell_length_a 4.740
_cell_length_b 4.740
_cell_length_c 33.010
_cell_angle_alpha 90.00
_cell_angle_beta 90.00
_cell_angle_gamma 90.00
loop_
_atom_site_label
_atom_site_fract_x
_atom_site_fract_y
_atom_site_fract_z
Pm1 0.000 0.000 0.046
Y1 0.000 0.000 0.297
Y2 0.000 0.000 0.500
Ho1 0.000 0.000 0.193
Ho2 0.000 0.500 0.121



# Rb2SrAgF6 | Alexandria | GGA-PBE | optimized geometry
# Energy relative to the elements, uncorrected, meV/atom: -2581
# DOS(E_F), states/eV/f.u.: 0.29
data_Rb2SrAgF6
_chemical_formula_sum 'Rb4 Sr2 Ag2 F12'
_symmetry_space_group_name_H-M 'I 4/m m m'
_symmetry_Int_Tables_number 139
_symmetry_space_group_name_Hall '-I 4 2'
_cell_length_a 6.646
_cell_length_b 6.646
_cell_length_c 8.981
_cell_angle_alpha 90.00
_cell_angle_beta 90.00
_cell_angle_gamma 90.00
loop_
_atom_site_label
_atom_site_fract_x
_atom_site_fract_y
_atom_site_fract_z
Rb1 0.000 0.500 0.250
Sr1 0.000 0.000 0.000
Ag1 0.000 0.000 0.500
F1 0.000 0.000 0.266
F2 0.248 0.248 0.500